Entry 1:
Pu4MnPd3 | GGA-PBE | optimized geometry

The structure in CIF format:
```
data_Pu4MnPd3
_cell_length_a 3.572
_cell_length_b 4.868
_cell_length_c 9.748
_cell_angle_alpha 90.00
_cell_angle_beta 90.00
_cell_angle_gamma 90.00
_symmetry_space_group_name_H-M 'P m m m'
_symmetry_Int_Tables_number 47
loop_
_symmetry_equiv_pos_as_xyz
'x,y,z'
'-x,-y,-z'
'-x,-y,z'
'x,y,-z'
'x,-y,-z'
'-x,y,z'
'-x,y,-z'
'x,-y,z'
loop_
_atom_site_label
_atom_site_fract_x
_atom_site_fract_y
_atom_site_fract_z
_atom_site_occupancy
Pu1 0.000 0.000 0.000 1
Pu2 0.000 0.000 0.500 1
Pu3 0.000 0.500 0.242 1
Mn1 0.500 0.500 0.000 1
Pd1 0.500 0.000 0.247 1
Pd2 0.500 0.500 0.500 1
```

V = 169.52 Å³/cell
Formation energy = -0.258 eV per atom



Entry 2:
PuMn3Pd12 | GGA-PBE | optimized geometry

The structure in CIF format:
```
data_PuMn3Pd12
_cell_length_a 4.000
_cell_length_b 4.000
_cell_length_c 15.801
_cell_angle_alpha 90.00
_cell_angle_beta 90.00
_cell_angle_gamma 90.00
_symmetry_space_group_name_H-M 'P 4/m m m'
_symmetry_Int_Tables_number 123
_symmetry_space_group_name_Hall '-P 4 2'
loop_
_atom_site_label
_atom_site_fract_x
_atom_site_fract_y
_atom_site_fract_z
_atom_site_occupancy
Pu1 0.000 0.000 0.000 1
Mn1 0.000 0.000 0.260 1
Mn2 0.000 0.000 0.500 1
Pd1 0.000 0.500 0.135 1
Pd2 0.000 0.500 0.379 1
Pd3 0.500 0.500 0.000 1
Pd4 0.500 0.500 0.258 1
Pd5 0.500 0.500 0.500 1
```

V = 252.84 Å³/cell
Formation energy = -0.293 eV per atom



Entry 3:
Pu3Mn2Pd | GGA-PBE | optimized geometry

The structure in CIF format:
```
data_Pu3Mn2Pd
_cell_length_a 3.471
_cell_length_b 3.471
_cell_length_c 9.889
_cell_angle_alpha 90.00
_cell_angle_beta 90.00
_cell_angle_gamma 90.00
_symmetry_space_group_name_H-M 'P 4/m m m'
_symmetry_Int_Tables_number 123
_symmetry_space_group_name_Hall '-P 4 2'
loop_
_atom_site_label
_atom_site_fract_x
_atom_site_fract_y
_atom_site_fract_z
_atom_site_occupancy
Pu1 0.000 0.000 0.000 1
Pu2 0.000 0.000 0.321 1
Mn1 0.500 0.500 0.150 1
Pd1 0.500 0.500 0.500 1
```

V = 119.13 Å³/cell
Formation energy = -0.061 eV per atom